# CrClO (PBE+U, optimized geometry)
# **Uncorrected energy**: -6.38 eV/atom
data_CrClO
_symmetry_space_group_name_H-M 'P m m n'
_symmetry_Int_Tables_number 59
_cell_length_a 3.250
_cell_length_b 3.940
_cell_length_c 8.446
_cell_angle_alpha 90.00
_cell_angle_beta 90.00
_cell_angle_gamma 90.00
loop_
_symmetry_equiv_pos_as_xyz
'x,y,z'
'-x,-y,-z'
'-x+1/2,-y+1/2,z'
'x+1/2,y+1/2,-z'
'x+1/2,-y,-z'
'-x+1/2,y,z'
'-x,y+1/2,-z'
'x,-y+1/2,z'
loop_
_atom_site_label
_atom_site_type_symbol
_atom_site_fract_x
_atom_site_fract_y
_atom_site_fract_z
_atom_site_occupancy
Cr1 Cr 0.250 0.250 0.102 1
Cl1 Cl 0.250 0.750 0.695 1
O1 O 0.250 0.750 0.049 1